Density functional theory data (GGA-PBE) for an optimized crystal structure of LiMgICl2.

Lattice parameters (Å, degrees): 4.488 6.623 4.488 90.00 90.00 90.00
Element x y z (fractional)
Li (0.000, 0.000, 0.000)
Mg (0.000, 0.500, 0.000)
Cl (0.500, 0.000, 0.000)
Cl (0.000, 0.000, 0.500)
I (0.500, 0.500, 0.500)

## Properties
**Total magnetic moment**: 0.000 μB/atom
**SG**: P4/mmm (123)
**Raw formation energy**: -775 meV per atom



Density functional theory data (GGA-PBE) for an optimized crystal structure of Sr2PRhW.

Lattice parameters (Å, degrees): 5.862 5.862 4.535 90.00 90.00 90.00
Last column: magnetic moment on the atom in μB.
Element x y z (fractional)
Sr (0.000, 0.500, 0.000)  -0.01
Sr (0.500, 0.000, 0.000)  -0.01
P (0.000, 0.000, 0.500)  0.01
W (0.000, 0.000, 0.000)  0.02
Rh (0.500, 0.500, 0.500)  0.95

## Properties
**Total magnetic moment**: 0.207 μB/atom
**SG**: P4/mmm (123)
**Energy of formation**: 0.88 eV/atom



Density functional theory data (GGA-PBE) for an optimized crystal structure of Ti3PtN.

Lattice parameters (Å, degrees): 4.189 4.189 10.850 78.87 78.87 90.00
Element x y z (fractional)
N (0.857, 0.357, 0.287)
N (0.643, 0.143, 0.713)
Ti (0.643, 0.887, 0.226)
Ti (0.113, 0.869, 0.774)
Ti (0.685, 0.685, 0.630)
Ti (0.315, 0.315, 0.370)
Ti (0.113, 0.357, 0.774)
Ti (0.131, 0.887, 0.226)
Pt (0.000, 0.000, 0.000)
Pt (0.250, 0.750, 0.500)

## Properties
**Total magnetic moment**: 0.000 μB/atom
**SG**: I-4m2 (119)
**Raw formation energy**: 319 meV per atom



Density functional theory data (GGA-PBE) for an optimized crystal structure of TbPr2Nd2Er.

Lattice parameters (Å, degrees): 5.752 7.121 9.956 90.00 90.00 90.00
Element x y z (fractional)
Pr (0.000, 0.257, 0.177)
Pr (0.500, 0.008, 0.000)
Pr (0.500, 0.508, 0.000)
Pr (0.000, 0.757, 0.823)
Er (0.000, 0.508, 0.500)
Er (0.000, 0.008, 0.500)
Nd (0.000, 0.258, 0.836)
Nd (0.500, 0.758, 0.668)
Nd (0.000, 0.758, 0.164)
Nd (0.500, 0.258, 0.332)
Tb (0.500, 0.258, 0.659)
Tb (0.500, 0.758, 0.341)

## Properties
**Total magnetic moment**: 0.000 μB/atom
**SG**: Pmma (51)
**Energy of formation**: 0.06 eV/atom